LaSm2Er: relaxed, PBE-GGA.

## Properties
The energy above the most stable polymorph in this dataset comes out at 11 meV/atom. As for the total energy: -4.6983 eV/atom.

Cell lengths 6.3652, 5.8355, 14.6846 Å; angles 90.00, 90.00, 90.00 degrees
Space group Pnma (No. 62)
One atom of each set of equivalent atoms:
1 La 0.0843 0.2500 0.1885 [4 per cell]
2 Sm 0.0827 0.2500 0.6847 [4 per cell]
3 Sm 0.0865 0.2500 0.9379 [4 per cell]
4 Er 0.0811 0.2500 0.4397 [4 per cell]